(1)
Below is an optimized crystal structure of SrTbDy, with properties calculated at the PBE level.

Geometry as CIF:
```
data_SrTbDy
_chemical_formula_sum 'Sr1 Tb1 Dy1'
_cell_length_a 3.7176
_cell_length_b 3.7176
_cell_length_c 9.2736
_cell_angle_alpha 90.00
_cell_angle_beta 90.00
_cell_angle_gamma 120.00
_space_group_name_H-M_alt 'P 3 m 1'
_space_group_IT_number 156
loop_
_space_group_symop_operation_xyz
'x,y,z'
'-y,x-y,z'
'-x+y,-x,z'
'-y,-x,z'
'-x+y,y,z'
'x,x-y,z'
loop_
_atom_site_label
_atom_site_type_symbol
_atom_site_fract_x
_atom_site_fract_y
_atom_site_fract_z
Sr1 Sr 0.0000 0.0000 0.0000
Tb1 Tb 0.6667 0.3333 0.3549
Dy1 Dy 0.3333 0.6667 0.6469
```

Computed properties:
* energy of formation: 154 meV per atom
* M_tot: 0.0 μB/cell
* excess energy over the best structure of this formula in the dataset: 23 meV/atom
* DOS at the Fermi energy: 4.7 states/eV per cell



(2)
Below is an optimized crystal structure of SrTb2Dy, with properties calculated at the PBE level.

Geometry as CIF:
```
data_SrTb2Dy
_chemical_formula_sum 'Sr3 Tb6 Dy3'
_cell_length_a 3.6727
_cell_length_b 3.6727
_cell_length_c 36.4648
_cell_angle_alpha 90.00
_cell_angle_beta 90.00
_cell_angle_gamma 120.00
_space_group_name_H-M_alt 'R 3 m'
_space_group_IT_number 160
_space_group_name_Hall 'R 3 -2"'
loop_
_atom_site_label
_atom_site_type_symbol
_atom_site_fract_x
_atom_site_fract_y
_atom_site_fract_z
Sr1 Sr 0.0000 0.0000 0.0000
Tb1 Tb 0.0000 0.0000 0.5762
Tb2 Tb 0.0000 0.0000 0.7560
Dy1 Dy 0.0000 0.0000 0.1658
```

Computed properties:
* energy of formation: 124 meV per atom
* M_tot: 0.0 μB/cell
* excess energy over the best structure of this formula in the dataset: 5 meV/atom
* DOS at the Fermi energy: 16.5 states/eV per cell



(3)
Below is an optimized crystal structure of SrTbDy, with properties calculated at the PBE level.

Geometry as CIF:
```
data_SrTbDy
_chemical_formula_sum 'Sr2 Tb2 Dy2'
_cell_length_a 3.7260
_cell_length_b 3.7260
_cell_length_c 16.1003
_cell_angle_alpha 90.00
_cell_angle_beta 90.00
_cell_angle_gamma 90.00
_space_group_name_H-M_alt 'I 4 m m'
_space_group_IT_number 107
_space_group_name_Hall 'I 4 -2'
loop_
_atom_site_label
_atom_site_type_symbol
_atom_site_fract_x
_atom_site_fract_y
_atom_site_fract_z
Sr1 Sr 0.0000 0.0000 0.0000
Tb1 Tb 0.0000 0.0000 0.3193
Dy1 Dy 0.0000 0.0000 0.6802
```

Computed properties:
* energy of formation: 130 meV per atom
* M_tot: 0.0 μB/cell
* excess energy over the best structure of this formula in the dataset: 0 meV/atom
* DOS at the Fermi energy: 8.8 states/eV per cell



Question: Which formula does entry 1 have?
Answer: SrTbDy



Question: Look up the excess energy over the best structure of this formula in the dataset of the second one.
Answer: 5 meV/atom



Please write out number 1 again, unchanged.
Below is an optimized crystal structure of SrTbDy, with properties calculated at the PBE level.

Geometry as CIF:
```
data_SrTbDy
_chemical_formula_sum 'Sr1 Tb1 Dy1'
_cell_length_a 3.7176
_cell_length_b 3.7176
_cell_length_c 9.2736
_cell_angle_alpha 90.00
_cell_angle_beta 90.00
_cell_angle_gamma 120.00
_space_group_name_H-M_alt 'P 3 m 1'
_space_group_IT_number 156
loop_
_space_group_symop_operation_xyz
'x,y,z'
'-y,x-y,z'
'-x+y,-x,z'
'-y,-x,z'
'-x+y,y,z'
'x,x-y,z'
loop_
_atom_site_label
_atom_site_type_symbol
_atom_site_fract_x
_atom_site_fract_y
_atom_site_fract_z
Sr1 Sr 0.0000 0.0000 0.0000
Tb1 Tb 0.6667 0.3333 0.3549
Dy1 Dy 0.3333 0.6667 0.6469
```

Computed properties:
* energy of formation: 154 meV per atom
* M_tot: 0.0 μB/cell
* excess energy over the best structure of this formula in the dataset: 23 meV/atom
* DOS at the Fermi energy: 4.7 states/eV per cell